(1)
## Na2Al2Si3H4O12 (meta-GGA SCAN)

Data for Na2Al2Si3H4O12 at its PBEsol-relaxed geometry.

Lattice parameters (Å, degrees): 9.8838 9.7478 13.0756 48.68 47.79 83.52
Last column: nearest neighbours and their distance in Å.
Atoms (fractional coordinates):
1 Na 0.0009 0.4991 0.0596  6 O 2.38-2.57
2 Na 0.1904 0.8096 0.2491  6 O 2.38-2.57
3 Na 0.4991 0.0009 0.4404  6 O 2.38-2.57
4 Na 0.8096 0.1904 0.7509  6 O 2.38-2.57
5 Al 0.0590 0.9432 0.6301  4 O 1.75-1.76
6 Al 0.6199 0.8824 0.1910  4 O 1.75-1.76
7 Al 0.8824 0.6199 0.3068  4 O 1.75-1.76
8 Al 0.9432 0.0590 0.3676  4 O 1.75-1.76
9 Si 0.0519 0.9340 0.8710  4 O 1.62-1.65
10 Si 0.1068 0.3790 0.3160  4 O 1.62-1.65
11 Si 0.3656 0.3656 0.6344  4 O 1.62-1.64
12 Si 0.3790 0.1068 0.1981  4 O 1.62-1.65
13 Si 0.6156 0.6156 0.8844  4 O 1.62-1.64
14 Si 0.9340 0.0519 0.1432  4 O 1.62-1.65
15 H 0.1405 0.5261 0.5751  1 O 1.00
16 H 0.3513 0.5212 0.7732  1 O 0.98
17 H 0.4768 0.8957 0.8987  1 O 0.98
18 H 0.4917 0.6749 0.7239  1 O 1.00
19 H 0.5212 0.3513 0.3543  1 O 0.98
20 H 0.5261 0.1405 0.7583  1 O 1.00
21 H 0.6749 0.4917 0.1095  1 O 1.00
22 H 0.8957 0.4768 0.7288  1 O 0.98
23 O 0.0019 0.7327 0.0706  1 Si 1.62, 1 Al 1.75
24 O 0.0084 0.5045 0.3586  1 Si 1.63, 1 Al 1.76
25 O 0.0133 0.5010 0.6103  2 H 0.98-1.00
26 O 0.0552 0.1794 0.5173  1 Si 1.62, 1 Al 1.75
27 O 0.1215 0.8914 0.7455  1 Si 1.63, 1 Al 1.76
28 O 0.1794 0.0552 0.2481  1 Si 1.62, 1 Al 1.75
29 O 0.1817 0.2747 0.8662  2 Si 1.64-1.65
30 O 0.2747 0.1817 0.6773  2 Si 1.64-1.65
31 O 0.2816 0.9947 0.4150  1 Si 1.62, 1 Al 1.75
32 O 0.3746 0.6397 0.7490  2 H 0.98-1.00
33 O 0.3838 0.5727 0.0683  2 Si 1.64-1.65
34 O 0.4039 0.5906 0.4568  1 Si 1.62, 1 Al 1.75, 1 H 1.80
35 O 0.5010 0.0133 0.8754  2 H 0.98-1.00
36 O 0.5045 0.0084 0.1285  1 Si 1.63, 1 Al 1.76
37 O 0.5727 0.3838 0.9753  2 Si 1.64-1.65
38 O 0.5906 0.4039 0.5488  1 Si 1.62, 1 Al 1.75, 1 H 1.80
39 O 0.6397 0.3746 0.2367  2 H 0.98-1.00
40 O 0.7012 0.7932 0.6594  1 Si 1.62, 1 Al 1.75, 1 H 1.80
41 O 0.7327 0.0019 0.1948  1 Si 1.62, 1 Al 1.75
42 O 0.7932 0.7012 0.8461  1 Si 1.62, 1 Al 1.75, 1 H 1.80
43 O 0.8350 0.9413 0.9684  1 Si 1.62, 1 Al 1.75
44 O 0.8914 0.1215 0.2416  1 Si 1.63, 1 Al 1.76
45 O 0.9413 0.8350 0.2553  1 Si 1.62, 1 Al 1.75
46 O 0.9947 0.2816 0.3087  1 Si 1.62, 1 Al 1.75

As for the total magnetization: 0.0 Bohr magnetons per cell. As for the energy: -401.1 eV for the cell shown.

=====

(2)
## CrB2Br (meta-GGA SCAN)

Data for CrB2Br at its PBEsol-relaxed geometry.

Lattice parameters (Å, degrees): 3.9269 3.9269 3.9269 60.00 60.00 60.00
Last column: nearest neighbours and their distance in Å.
Atoms (fractional coordinates):
1 Cr 0.0000 0.0000 0.0000  8 B 2.40
2 B 0.2500 0.2500 0.2500  4 Cr 2.40, 4 Br 2.40
3 B 0.7500 0.7500 0.7500  4 Cr 2.40, 4 Br 2.40
4 Br 0.5000 0.5000 0.5000  8 B 2.40

As for the total magnetization: 1.2 Bohr magnetons per cell. The value obtained for the uncorrected formation energy is 2.165 eV/atom. As for the energy: -44.0 eV for the cell shown.

=====

(3)
## NiAgMo2 (meta-GGA SCAN)

Data for NiAgMo2 at its PBEsol-relaxed geometry.

Lattice parameters (Å, degrees): 9.3316 9.3316 9.3316 16.58 16.58 16.58
Last column: nearest neighbours and their distance in Å.
Atoms (fractional coordinates):
1 Ni 0.0000 0.0000 0.0000  6 Mo 2.62, 6 Ni 2.69
2 Ag 0.5000 0.5000 0.5000  6 Ag 2.69, 6 Mo 2.93
3 Mo 0.2568 0.2568 0.2568  3 Ni 2.62, 6 Mo 2.69, 3 Ag 2.93
4 Mo 0.7432 0.7432 0.7432  3 Ni 2.62, 6 Mo 2.69, 3 Ag 2.93

For the relative energy among the computed polymorphs, the calculation gives 108.6 meV/atom. As for the total magnetization: 0.0 Bohr magnetons per cell. As for the formation energy from the elements: 0.42 eV per atom. As for the energy: -115.6 eV for the cell shown.

=====

(4)
## BeAgW3 (meta-GGA SCAN)

Data for BeAgW3 at its PBEsol-relaxed geometry.

Lattice parameters (Å, degrees): 4.2080 4.2080 4.2080 90.00 90.00 90.00
Last column: nearest neighbours and their distance in Å.
Atoms (fractional coordinates):
1 Be 0.0000 0.0000 0.0000  6 W 2.10
2 Ag 0.5000 0.5000 0.5000  12 W 2.98
3 W 0.0000 0.0000 0.5000  2 Be 2.10
4 W 0.0000 0.5000 0.0000  2 Be 2.10
5 W 0.5000 0.0000 0.0000  2 Be 2.10

As for the total magnetization: 0.0 Bohr magnetons per cell. As for the formation energy from the elements: 1.09 eV per atom. As for the energy: -239.3 eV for the cell shown.

=====

(5)
## KIn2Se (meta-GGA SCAN)

Data for KIn2Se at its PBEsol-relaxed geometry.

Lattice parameters (Å, degrees): 3.8356 6.3629 6.3629 46.88 90.00 90.00
Last column: nearest neighbours and their distance in Å.
Atoms (fractional coordinates):
1 K 0.0000 0.0000 0.0000  4 Se 3.19, 3 In 3.36-3.55
2 In 0.0000 0.7126 0.7126  2 Se 2.87
3 In 0.5000 0.2883 0.2883  1 Se 2.82
4 Se 0.5000 0.5301 0.5301  3 In 2.82-2.87

As for the total magnetization: 0.0 Bohr magnetons per cell. The value obtained for the uncorrected formation energy is -0.556 eV/atom. As for the energy: -97.4 eV for the cell shown.

=====

(6)
## AgTe2WN (meta-GGA SCAN)

Data for AgTe2WN at its PBEsol-relaxed geometry.

Lattice parameters (Å, degrees): 5.3656 5.3656 3.7660 90.00 90.00 90.00
Last column: nearest neighbours and their distance in Å.
Atoms (fractional coordinates):
1 Ag 0.0000 0.0000 0.0000  2 N 1.88
2 Te 0.0000 0.5000 0.0000  2 Ag 2.68
3 Te 0.5000 0.0000 0.0000  2 Ag 2.68
4 W 0.5000 0.5000 0.5000  8 Te 3.28
5 N 0.0000 0.0000 0.5000  2 Ag 1.88

For the relative energy among the computed polymorphs, the calculation gives 1318.9 meV/atom. As for the total magnetization: 4.8 Bohr magnetons per cell. The value obtained for the uncorrected formation energy is 1.730 eV/atom. As for the energy: -176.2 eV for the cell shown.

=====

(7)
## ReP2Se (meta-GGA SCAN)

Data for ReP2Se at its PBEsol-relaxed geometry.

Lattice parameters (Å, degrees): 5.7858 5.7858 5.7858 150.52 135.29 54.46
Last column: nearest neighbours and their distance in Å.
Atoms (fractional coordinates):
1 Re 0.0000 0.0000 0.0000  4 P 2.44, 4 Se 2.65
2 P 0.1896 0.6896 0.5000  2 Re 2.44
3 P 0.8104 0.3104 0.5000  2 Re 2.44
4 Se 0.5000 0.5000 0.0000  4 Re 2.65, 4 P 2.94, 2 Se 2.94

As for the total magnetization: 0.0 Bohr magnetons per cell. The value obtained for the uncorrected formation energy is 0.609 eV/atom. As for the energy: -109.5 eV for the cell shown.

=====

(8)
## Ca2PtPb (meta-GGA SCAN)

Data for Ca2PtPb at its PBEsol-relaxed geometry.

Lattice parameters (Å, degrees): 3.4270 3.4270 8.2687 90.00 90.00 90.00
Last column: nearest neighbours and their distance in Å.
Atoms (fractional coordinates):
1 Ca 0.0000 0.0000 0.2078  4 Pt 2.97
2 Ca 0.0000 0.0000 0.7922  4 Pt 2.97
3 Pt 0.5000 0.5000 0.0000  8 Ca 2.97
4 Pb 0.5000 0.5000 0.5000  8 Ca 3.42, 4 Pb 3.43

For the relative energy among the computed polymorphs, the calculation gives 0.0 meV/atom. As for the total magnetization: 0.0 Bohr magnetons per cell. As for the formation energy from the elements: -0.87 eV per atom. As for the energy: -168.8 eV for the cell shown.